No. 1
# KTlTe2Pd

KTlTe2Pd after structural relaxation (PBE-GGA, Alexandria via LeMat-Bulk).

abc: 5.542 5.542 5.349
angles: 90.00 90.00 90.00
Positions (direct):
Tl1 0.000 0.000 0.500
Te1 0.000 0.500 0.000
Te2 0.500 0.000 0.000
K1 0.500 0.500 0.500
Pd1 0.000 0.000 0.000

Summary:
- E_form (uncorrected) (eV per atom) = -0.3693
- SG = P4/mmm
- total DFT energy (no corrections) (eV/atom) = -3.36

No. 2
# YPbSe2

YPbSe2 after structural relaxation (PBE-GGA, Alexandria via LeMat-Bulk).

abc: 4.064 4.064 8.456
angles: 83.47 83.47 58.44
Positions (direct):
Pb1 0.250 0.250 0.250
Se1 0.048 0.048 0.948
Se2 0.452 0.452 0.552
Y1 0.750 0.750 0.750

Summary:
- E_form (uncorrected) (eV per atom) = -1.1686
- SG = C2/m
- total DFT energy (no corrections) (eV/atom) = -5.45

No. 3
# Er6InTe3As2

Er6InTe3As2 after structural relaxation (PBE-GGA, Alexandria via LeMat-Bulk).

abc: 4.177 8.667 9.548
angles: 103.63 102.63 90.00
Positions (direct):
Er1 0.335 0.894 0.670
Er2 0.675 0.567 0.349
Er3 0.665 0.106 0.330
Er4 0.008 0.249 0.016
Er5 0.992 0.751 0.984
Er6 0.325 0.433 0.651
In1 0.500 0.000 0.000
Te1 0.500 0.500 0.000
Te2 0.834 0.168 0.668
Te3 0.166 0.832 0.332
As1 0.832 0.662 0.664
As2 0.168 0.338 0.336

Summary:
- E_form (uncorrected) (eV per atom) = -1.2176
- SG = C2/m
- total DFT energy (no corrections) (eV/atom) = -5.29

No. 4
# PaTa2AlN6

PaTa2AlN6 after structural relaxation (PBE-GGA, Alexandria via LeMat-Bulk).

abc: 5.418 5.419 5.679
angles: 61.50 61.51 60.00
Positions (direct):
Pa1 0.796 0.796 0.612
Ta1 0.529 0.529 0.413
Ta2 0.021 0.021 0.937
Al1 0.313 0.313 0.060
N1 0.610 0.233 0.247
N2 0.233 0.910 0.247
N3 0.910 0.610 0.247
N4 0.368 0.724 0.751
N5 0.724 0.157 0.751
N6 0.157 0.368 0.751

Summary:
- E_form (uncorrected) (eV per atom) = -1.0982
- SG = R3
- total DFT energy (no corrections) (eV/atom) = -9.79

No. 5
# CaNi2H

CaNi2H after structural relaxation (PBE-GGA, Alexandria via LeMat-Bulk).

abc: 5.287 5.287 5.287
angles: 60.00 60.00 90.00
Positions (direct):
Ni1 0.375 0.125 0.250
Ni2 0.375 0.625 0.250
Ni3 0.375 0.625 0.750
Ni4 0.875 0.625 0.750
Ca1 0.000 0.000 0.000
Ca2 0.750 0.250 0.500
H1 0.500 0.500 0.000
H2 0.250 0.750 0.500

Summary:
- SG = Fd-3m
- total DFT energy (no corrections) (eV/atom) = -4.45

No. 6
# NaYTl2

NaYTl2 after structural relaxation (PBE-GGA, Alexandria via LeMat-Bulk).

abc: 8.287 8.287 6.811
angles: 52.53 52.53 90.00
Positions (direct):
Y1 0.000 0.000 0.000
Y2 0.750 0.250 0.500
Na1 0.500 0.500 0.000
Na2 0.250 0.750 0.500
Tl1 0.615 0.125 0.250
Tl2 0.135 0.625 0.250
Tl3 0.375 0.385 0.750
Tl4 0.875 0.865 0.750

Summary:
- energy relative to the elements (eV/atom) = 0.0209
- SG = I-42d
- total DFT energy (no corrections) (eV/atom) = -3.11

No. 7
# LiHW3

LiHW3 after structural relaxation (PBE-GGA, Alexandria via LeMat-Bulk).

abc: 3.991 3.991 3.991
angles: 90.00 90.00 90.00
Positions (direct):
H1 0.000 0.000 0.000
W1 0.000 0.500 0.000
W2 0.000 0.000 0.500
W3 0.500 0.000 0.000
Li1 0.500 0.500 0.500

Summary:
- SG = Pm-3m
- total DFT energy (no corrections) (eV/atom) = -8.35

No. 8
# YZrAs2

YZrAs2 after structural relaxation (PBE-GGA, Alexandria via LeMat-Bulk).

abc: 3.917 3.917 7.225
angles: 74.27 74.27 60.00
Positions (direct):
Y1 0.496 0.496 0.512
Zr1 0.670 0.670 0.989
As1 0.077 0.077 0.768
As2 0.256 0.256 0.232

Summary:
- energy relative to the elements (eV/atom) = -1.2265
- SG = R3m
- total DFT energy (no corrections) (eV/atom) = -7.30

Q: Which of these has the lowest total DFT energy (no corrections)?
A: PaTa2AlN6

Please write out number 6 again, unchanged.
# NaYTl2

NaYTl2 after structural relaxation (PBE-GGA, Alexandria via LeMat-Bulk).

abc: 8.287 8.287 6.811
angles: 52.53 52.53 90.00
Positions (direct):
Y1 0.000 0.000 0.000
Y2 0.750 0.250 0.500
Na1 0.500 0.500 0.000
Na2 0.250 0.750 0.500
Tl1 0.615 0.125 0.250
Tl2 0.135 0.625 0.250
Tl3 0.375 0.385 0.750
Tl4 0.875 0.865 0.750

Summary:
- energy relative to the elements (eV/atom) = 0.0209
- SG = I-42d
- total DFT energy (no corrections) (eV/atom) = -3.11

Please write out number 4 again, unchanged.
# PaTa2AlN6

PaTa2AlN6 after structural relaxation (PBE-GGA, Alexandria via LeMat-Bulk).

abc: 5.418 5.419 5.679
angles: 61.50 61.51 60.00
Positions (direct):
Pa1 0.796 0.796 0.612
Ta1 0.529 0.529 0.413
Ta2 0.021 0.021 0.937
Al1 0.313 0.313 0.060
N1 0.610 0.233 0.247
N2 0.233 0.910 0.247
N3 0.910 0.610 0.247
N4 0.368 0.724 0.751
N5 0.724 0.157 0.751
N6 0.157 0.368 0.751

Summary:
- E_form (uncorrected) (eV per atom) = -1.0982
- SG = R3
- total DFT energy (no corrections) (eV/atom) = -9.79

Q: The lowest total DFT energy (no corrections) belongs to which entry?
A: PaTa2AlN6